# 1
# BaCd2InPd, relaxed, DFT GGA-PBE
data_BaCd2InPd
_chemical_formula_sum 'Ba1 Cd2 In1 Pd1'
_cell_length_a 7.0319
_cell_length_b 7.0319
_cell_length_c 7.0319
_cell_angle_alpha 141.38
_cell_angle_beta 140.52
_cell_angle_gamma 56.41
_symmetry_space_group_name_H-M 'P 1'
_symmetry_Int_Tables_number 1
loop_
_symmetry_equiv_pos_as_xyz
'x,y,z'
loop_
_atom_site_label
_atom_site_type_symbol
_atom_site_fract_x
_atom_site_fract_y
_atom_site_fract_z
_atom_site_occupancy
Ba1 Ba 0.0000 0.0000 0.0000 1
Cd1 Cd 0.6093 0.6093 0.0000 1
Cd2 Cd 0.7630 0.2630 0.5000 1
In1 In 0.2647 0.7647 0.5000 1
Pd1 Pd 0.3858 0.3858 0.0000 1
# Total DFT energy (no corrections): -2.746 eV/atom
# Size of the total moment: 0.000 μB per cell
# Calculated volume: 27.377 Å³ per atom
# ρ: 7077 kg/m3
# Formation energy from the elements: -409 meV/atom

---

# 2
# Ba2Cd12InPd3, relaxed, DFT GGA-PBE
data_Ba2Cd12InPd3
_chemical_formula_sum 'Ba2 Cd12 In1 Pd3'
_cell_length_a 9.0104
_cell_length_b 9.0104
_cell_length_c 9.0104
_cell_angle_alpha 64.61
_cell_angle_beta 64.61
_cell_angle_gamma 64.61
_symmetry_space_group_name_H-M 'P 1'
_symmetry_Int_Tables_number 1
loop_
_symmetry_equiv_pos_as_xyz
'x,y,z'
loop_
_atom_site_label
_atom_site_type_symbol
_atom_site_fract_x
_atom_site_fract_y
_atom_site_fract_z
_atom_site_occupancy
Ba1 Ba 0.1019 0.1019 0.1019 1
Ba2 Ba 0.8981 0.8981 0.8981 1
Cd1 Cd 0.1158 0.6299 0.6299 1
Cd2 Cd 0.1842 0.1842 0.6366 1
Cd3 Cd 0.1842 0.6366 0.1842 1
Cd4 Cd 0.3634 0.8158 0.8158 1
Cd5 Cd 0.3701 0.3701 0.8842 1
Cd6 Cd 0.3701 0.8842 0.3701 1
Cd7 Cd 0.6299 0.1158 0.6299 1
Cd8 Cd 0.6299 0.6299 0.1158 1
Cd9 Cd 0.6366 0.1842 0.1842 1
Cd10 Cd 0.8158 0.3634 0.8158 1
Cd11 Cd 0.8158 0.8158 0.3634 1
Cd12 Cd 0.8842 0.3701 0.3701 1
In1 In 0.5000 0.5000 0.5000 1
Pd1 Pd 0.0000 0.5000 0.5000 1
Pd2 Pd 0.5000 0.0000 0.5000 1
Pd3 Pd 0.5000 0.5000 0.0000 1
# Total DFT energy (no corrections): -1.839 eV/atom
# Size of the total moment: 0.000 μB per cell
# Calculated volume: 31.641 Å³ per atom
# ρ: 5999 kg/m3
# Formation energy from the elements: 2 meV/atom

---

# 3
# BaCdIn2Pd, relaxed, DFT GGA-PBE
data_BaCdIn2Pd
_chemical_formula_sum 'Ba1 Cd1 In2 Pd1'
_cell_length_a 5.2449
_cell_length_b 5.2449
_cell_length_c 5.3121
_cell_angle_alpha 90.00
_cell_angle_beta 90.00
_cell_angle_gamma 90.00
_symmetry_space_group_name_H-M 'P 1'
_symmetry_Int_Tables_number 1
loop_
_symmetry_equiv_pos_as_xyz
'x,y,z'
loop_
_atom_site_label
_atom_site_type_symbol
_atom_site_fract_x
_atom_site_fract_y
_atom_site_fract_z
_atom_site_occupancy
Ba1 Ba 0.0000 0.0000 0.0000 1
Cd1 Cd 0.5000 0.5000 0.0000 1
In1 In 0.0000 0.5000 0.5000 1
In2 In 0.5000 0.0000 0.5000 1
Pd1 Pd 0.5000 0.5000 0.5000 1
# Total DFT energy (no corrections): -3.075 eV/atom
# Size of the total moment: 0.000 μB per cell
# Calculated volume: 29.226 Å³ per atom
# ρ: 6657 kg/m3
# Formation energy from the elements: -373 meV/atom

---

# 4
# Ba2Cd2InPd5, relaxed, DFT GGA-PBE
data_Ba2Cd2InPd5
_chemical_formula_sum 'Ba4 Cd4 In2 Pd10'
_cell_length_a 11.0048
_cell_length_b 11.0048
_cell_length_c 3.7222
_cell_angle_alpha 90.00
_cell_angle_beta 90.00
_cell_angle_gamma 90.00
_symmetry_space_group_name_H-M 'P 1'
_symmetry_Int_Tables_number 1
loop_
_symmetry_equiv_pos_as_xyz
'x,y,z'
loop_
_atom_site_label
_atom_site_type_symbol
_atom_site_fract_x
_atom_site_fract_y
_atom_site_fract_z
_atom_site_occupancy
Ba1 Ba 0.1728 0.3272 0.0000 1
Ba2 Ba 0.3272 0.8272 0.0000 1
Ba3 Ba 0.6728 0.1728 0.0000 1
Ba4 Ba 0.8272 0.6728 0.0000 1
Cd1 Cd 0.1282 0.6282 0.0000 1
Cd2 Cd 0.3718 0.1282 0.0000 1
Cd3 Cd 0.6282 0.8718 0.0000 1
Cd4 Cd 0.8718 0.3718 0.0000 1
In1 In 0.0000 0.0000 0.0000 1
In2 In 0.5000 0.5000 0.0000 1
Pd1 Pd 0.0000 0.5000 0.5000 1
Pd2 Pd 0.0553 0.8105 0.5000 1
Pd3 Pd 0.1895 0.0553 0.5000 1
Pd4 Pd 0.3105 0.5553 0.5000 1
Pd5 Pd 0.4447 0.3105 0.5000 1
Pd6 Pd 0.5000 0.0000 0.5000 1
Pd7 Pd 0.5553 0.6895 0.5000 1
Pd8 Pd 0.6895 0.4447 0.5000 1
Pd9 Pd 0.8105 0.9447 0.5000 1
Pd10 Pd 0.9447 0.1895 0.5000 1
# Total DFT energy (no corrections): -3.843 eV/atom
# Size of the total moment: 0.000 μB per cell
# Calculated volume: 22.539 Å³ per atom
# ρ: 8446 kg/m3
# Formation energy from the elements: -405 meV/atom

---

# 5
# Ba2PmCd3In4, relaxed, DFT GGA-PBE
data_Ba2PmCd3In4
_chemical_formula_sum 'Ba2 Pm1 Cd3 In4'
_cell_length_a 4.8844
_cell_length_b 4.8844
_cell_length_c 13.2205
_cell_angle_alpha 90.00
_cell_angle_beta 90.00
_cell_angle_gamma 90.00
_symmetry_space_group_name_H-M 'P 1'
_symmetry_Int_Tables_number 1
loop_
_symmetry_equiv_pos_as_xyz
'x,y,z'
loop_
_atom_site_label
_atom_site_type_symbol
_atom_site_fract_x
_atom_site_fract_y
_atom_site_fract_z
_atom_site_occupancy
Ba1 Ba 0.0000 0.5000 0.2349 1
Ba2 Ba 0.5000 0.0000 0.7651 1
Pm1 Pm 0.0000 0.0000 0.5000 1
Cd1 Cd 0.0000 0.5000 0.8677 1
Cd2 Cd 0.5000 0.0000 0.1323 1
Cd3 Cd 0.5000 0.5000 0.5000 1
In1 In 0.0000 0.0000 0.0000 1
In2 In 0.0000 0.5000 0.6501 1
In3 In 0.5000 0.0000 0.3499 1
In4 In 0.5000 0.5000 0.0000 1
# Total DFT energy (no corrections): -2.559 eV/atom
# Size of the total moment: 0.002 μB per cell
# Calculated volume: 31.541 Å³ per atom
# ρ: 6403 kg/m3
# Formation energy from the elements: -329 meV/atom

---

# 6
# BaCd2InPt, relaxed, DFT GGA-PBE
data_BaCd2InPt
_chemical_formula_sum 'Ba1 Cd2 In1 Pt1'
_cell_length_a 7.0322
_cell_length_b 7.0322
_cell_length_c 7.0322
_cell_angle_alpha 141.71
_cell_angle_beta 140.54
_cell_angle_gamma 56.15
_symmetry_space_group_name_H-M 'P 1'
_symmetry_Int_Tables_number 1
loop_
_symmetry_equiv_pos_as_xyz
'x,y,z'
loop_
_atom_site_label
_atom_site_type_symbol
_atom_site_fract_x
_atom_site_fract_y
_atom_site_fract_z
_atom_site_occupancy
Ba1 Ba 0.0000 0.0000 0.0000 1
Cd1 Cd 0.6126 0.6126 0.0000 1
Cd2 Cd 0.7659 0.2659 0.5000 1
In1 In 0.2673 0.7673 0.5000 1
Pt1 Pt 0.3908 0.3908 0.0000 1
# Total DFT energy (no corrections): -2.961 eV/atom
# Size of the total moment: 0.000 μB per cell
# Calculated volume: 27.176 Å³ per atom
# ρ: 8213 kg/m3
# Formation energy from the elements: -455 meV/atom

---

# 7
# Ba2Cd6InPt, relaxed, DFT GGA-PBE
data_Ba2Cd6InPt
_chemical_formula_sum 'Ba2 Cd6 In1 Pt1'
_cell_length_a 7.4313
_cell_length_b 7.4315
_cell_length_c 7.6434
_cell_angle_alpha 90.00
_cell_angle_beta 119.03
_cell_angle_gamma 119.99
_symmetry_space_group_name_H-M 'P 1'
_symmetry_Int_Tables_number 1
loop_
_symmetry_equiv_pos_as_xyz
'x,y,z'
loop_
_atom_site_label
_atom_site_type_symbol
_atom_site_fract_x
_atom_site_fract_y
_atom_site_fract_z
_atom_site_occupancy
Ba1 Ba 0.0974 0.2985 0.3959 1
Ba2 Ba 0.9026 0.7015 0.6041 1
Cd1 Cd 0.0147 0.2565 0.8601 1
Cd2 Cd 0.3984 0.1551 0.1408 1
Cd3 Cd 0.3977 0.7428 0.1404 1
Cd4 Cd 0.6023 0.2572 0.8596 1
Cd5 Cd 0.6016 0.8449 0.8592 1
Cd6 Cd 0.9853 0.7435 0.1399 1
In1 In 0.5000 0.0000 0.5000 1
Pt1 Pt 0.5000 0.5000 0.0000 1
# Total DFT energy (no corrections): -2.074 eV/atom
# Size of the total moment: 0.000 μB per cell
# Calculated volume: 30.279 Å³ per atom
# ρ: 6905 kg/m3
# Formation energy from the elements: -262 meV/atom

---

# 8
# BaCd2InPt, relaxed, DFT GGA-PBE
data_BaCd2InPt
_chemical_formula_sum 'Ba1 Cd2 In1 Pt1'
_cell_length_a 5.3185
_cell_length_b 5.3185
_cell_length_c 5.2103
_cell_angle_alpha 90.00
_cell_angle_beta 90.00
_cell_angle_gamma 90.00
_symmetry_space_group_name_H-M 'P 1'
_symmetry_Int_Tables_number 1
loop_
_symmetry_equiv_pos_as_xyz
'x,y,z'
loop_
_atom_site_label
_atom_site_type_symbol
_atom_site_fract_x
_atom_site_fract_y
_atom_site_fract_z
_atom_site_occupancy
Ba1 Ba 0.0000 0.0000 0.0000 1
Cd1 Cd 0.0000 0.5000 0.5000 1
Cd2 Cd 0.5000 0.0000 0.5000 1
In1 In 0.5000 0.5000 0.0000 1
Pt1 Pt 0.5000 0.5000 0.5000 1
# Total DFT energy (no corrections): -2.901 eV/atom
# Size of the total moment: 0.001 μB per cell
# Calculated volume: 29.476 Å³ per atom
# ρ: 7572 kg/m3
# Formation energy from the elements: -394 meV/atom

---

# 9
# Ba2Cd3InPt4, relaxed, DFT GGA-PBE
data_Ba2Cd3InPt4
_chemical_formula_sum 'Ba2 Cd3 In1 Pt4'
_cell_length_a 4.8264
_cell_length_b 4.8264
_cell_length_c 10.8088
_cell_angle_alpha 90.00
_cell_angle_beta 90.00
_cell_angle_gamma 90.00
_symmetry_space_group_name_H-M 'P 1'
_symmetry_Int_Tables_number 1
loop_
_symmetry_equiv_pos_as_xyz
'x,y,z'
loop_
_atom_site_label
_atom_site_type_symbol
_atom_site_fract_x
_atom_site_fract_y
_atom_site_fract_z
_atom_site_occupancy
Ba1 Ba 0.0000 0.5000 0.2306 1
Ba2 Ba 0.5000 0.0000 0.7694 1
Cd1 Cd 0.0000 0.5000 0.8763 1
Cd2 Cd 0.5000 0.0000 0.1237 1
Cd3 Cd 0.5000 0.5000 0.5000 1
In1 In 0.0000 0.0000 0.5000 1
Pt1 Pt 0.0000 0.0000 0.0000 1
Pt2 Pt 0.0000 0.5000 0.6243 1
Pt3 Pt 0.5000 0.0000 0.3757 1
Pt4 Pt 0.5000 0.5000 0.0000 1
# Total DFT energy (no corrections): -3.870 eV/atom
# Size of the total moment: 0.000 μB per cell
# Calculated volume: 25.178 Å³ per atom
# ρ: 9939 kg/m3
# Formation energy from the elements: -521 meV/atom

---

# 10
# Ba2CdIn4Pt3, relaxed, DFT GGA-PBE
data_Ba2CdIn4Pt3
_chemical_formula_sum 'Ba2 Cd1 In4 Pt3'
_cell_length_a 4.7394
_cell_length_b 4.7394
_cell_length_c 11.5500
_cell_angle_alpha 90.00
_cell_angle_beta 90.00
_cell_angle_gamma 90.00
_symmetry_space_group_name_H-M 'P 1'
_symmetry_Int_Tables_number 1
loop_
_symmetry_equiv_pos_as_xyz
'x,y,z'
loop_
_atom_site_label
_atom_site_type_symbol
_atom_site_fract_x
_atom_site_fract_y
_atom_site_fract_z
_atom_site_occupancy
Ba1 Ba 0.0000 0.5000 0.2473 1
Ba2 Ba 0.5000 0.0000 0.7527 1
Cd1 Cd 0.0000 0.0000 0.5000 1
In1 In 0.0000 0.0000 0.0000 1
In2 In 0.0000 0.5000 0.6347 1
In3 In 0.5000 0.0000 0.3653 1
In4 In 0.5000 0.5000 0.0000 1
Pt1 Pt 0.0000 0.5000 0.8731 1
Pt2 Pt 0.5000 0.0000 0.1269 1
Pt3 Pt 0.5000 0.5000 0.5000 1
# Total DFT energy (no corrections): -3.962 eV/atom
# Size of the total moment: 0.000 μB per cell
# Calculated volume: 25.944 Å³ per atom
# ρ: 9163 kg/m3
# Formation energy from the elements: -579 meV/atom